1.
This record from the Alexandria database describes crystalline GaNi12Sb3 at its relaxed geometry. The functional is PBE.

POSCAR file:
```
GaNi12Sb3
1.0
3.707 0.000 0.000
0.000 3.707 0.000
0.000 0.000 14.669
Ni Ga Sb
12 1 3
direct
0.000 0.500 0.373 Ni
0.500 0.000 0.373 Ni
0.500 0.500 0.000 Ni
0.500 0.500 0.752 Ni
0.500 0.000 0.118 Ni
0.000 0.500 0.627 Ni
0.500 0.000 0.882 Ni
0.500 0.500 0.248 Ni
0.000 0.500 0.118 Ni
0.000 0.500 0.882 Ni
0.500 0.500 0.500 Ni
0.500 0.000 0.627 Ni
0.000 0.000 0.000 Ga
0.000 0.000 0.242 Sb
0.000 0.000 0.500 Sb
0.000 0.000 0.758 Sb
```

Calculated values
Formation energy without anion corrections: -3.031 eV per formula unit

2.
This record from the Alexandria database describes crystalline TlAgPb2 at its relaxed geometry. The functional is PBE.

POSCAR file:
```
TlAgPb2
1.0
-0.038 -4.140 2.855
3.017 -0.970 -1.366
4.626 2.719 4.005
Tl Pb Ag
1 2 1
direct
0.500 0.250 0.250 Tl
0.000 0.909 0.980 Pb
0.000 0.591 0.520 Pb
0.500 0.750 0.750 Ag
```

Calculated values
Offset from the most stable computed form: 77 meV per atom
ΔH_f (0 K): 0.10 eV per atom

3.
This record from the Alexandria database describes crystalline Ga2Ni2Mo at its relaxed geometry. The functional is PBE.

POSCAR file:
```
Ga2Ni2Mo
1.0
3.549 0.000 0.000
0.000 3.549 0.000
1.774 1.774 5.500
Ni Ga Mo
2 2 1
direct
0.750 0.250 0.500 Ni
0.250 0.750 0.500 Ni
0.609 0.609 0.782 Ga
0.391 0.391 0.218 Ga
0.000 0.000 0.000 Mo
```

Calculated values
Offset from the most stable computed form: 190 meV per atom
ΔH_f (0 K): 0.02 eV per atom

4.
This record from the Alexandria database describes crystalline PmBi2P2Pt7 at its relaxed geometry. The functional is PBE.

POSCAR file:
```
PmBi2P2Pt7
1.0
4.046 -0.003 -0.002
0.002 4.046 -0.002
2.033 2.031 14.894
P Bi Pt Pm
2 2 7 1
direct
0.618 0.618 0.765 P
0.382 0.382 0.235 P
0.211 0.211 0.579 Bi
0.789 0.789 0.421 Bi
0.925 0.424 0.151 Pt
0.500 0.500 0.000 Pt
0.424 0.925 0.151 Pt
0.306 0.306 0.389 Pt
0.075 0.576 0.849 Pt
0.694 0.694 0.611 Pt
0.576 0.075 0.849 Pt
0.000 0.000 0.000 Pm
```

Calculated values
ΔH_f (0 K): -0.61 eV per atom

5.
This record from the Alexandria database describes crystalline Rb2InSBr6 at its relaxed geometry. The functional is PBE.

POSCAR file:
```
Rb2InSBr6
1.0
7.608 0.000 0.000
0.000 7.608 0.000
3.804 3.804 6.159
In Br Rb S
1 6 2 1
direct
0.000 0.000 0.000 In
0.261 0.261 0.000 Br
0.739 0.261 0.000 Br
0.739 0.739 0.000 Br
0.222 0.222 0.556 Br
0.261 0.739 0.000 Br
0.778 0.778 0.444 Br
0.750 0.250 0.500 Rb
0.250 0.750 0.500 Rb
0.500 0.500 0.000 S
```

Calculated values
Formation energy without anion corrections: -8.569 eV per formula unit

6.
This record from the Alexandria database describes crystalline BaSrI at its relaxed geometry. The functional is PBE.

POSCAR file:
```
BaSrI
1.0
-1.505 2.231 3.566
0.267 -4.458 0.103
7.993 0.549 3.029
Sr Ba I
1 1 1
direct
0.333 0.667 0.628 Sr
0.000 0.000 0.034 Ba
0.667 0.333 0.338 I
```

Calculated values
Offset from the most stable computed form: 0 meV per atom
Formation energy without anion corrections: -2.432 eV per formula unit